The following is a DFT calculation (PBE) of a relaxed CsSrMo crystal. Values from VASP.

Total energy (eV/atom): -2.54
Total magnetization (μB per formula unit): 4.659
Space group: F-43m, No. 216

Geometry as Quantum ESPRESSO input:
```
&SYSTEM
  ibrav = 0, nat = 3, ntyp = 3
/
ATOMIC_SPECIES
Cs 132.91 Cs.upf
Sr 87.62 Sr.upf
Mo 95.94 Mo.upf
CELL_PARAMETERS angstrom
0.000 4.211 4.211
4.211 0.000 4.211
4.211 4.211 0.000
ATOMIC_POSITIONS crystal
Cs 0.000 0.000 0.000
Sr 0.250 0.250 0.250
Mo 0.750 0.750 0.750
```

***

The following is a DFT calculation (PBE) of a relaxed CsTe7Mo6 crystal. Values from VASP.

Total energy (eV/atom): -6.67
Total magnetization (μB per formula unit): 0.001
Space group: R-3, No. 148

Geometry as Quantum ESPRESSO input:
```
&SYSTEM
  ibrav = 0, nat = 28, ntyp = 3
/
ATOMIC_SPECIES
Cs 132.91 Cs.upf
Te 127.60 Te.upf
Mo 95.94 Mo.upf
CELL_PARAMETERS angstrom
5.187 2.995 8.558
-5.187 2.995 8.558
0.000 -5.990 8.558
ATOMIC_POSITIONS crystal
Cs 0.122 0.122 0.122
Cs 0.878 0.878 0.878
Te 0.074 0.702 0.333
Te 0.127 0.484 0.748
Te 0.252 0.873 0.516
Te 0.276 0.276 0.276
Te 0.298 0.667 0.926
Te 0.333 0.074 0.702
Te 0.484 0.748 0.127
Te 0.516 0.252 0.873
Te 0.667 0.926 0.298
Te 0.702 0.333 0.074
Te 0.724 0.724 0.724
Te 0.748 0.127 0.484
Te 0.873 0.516 0.252
Te 0.926 0.298 0.667
Mo 0.208 0.383 0.502
Mo 0.313 0.612 0.443
Mo 0.383 0.502 0.208
Mo 0.388 0.557 0.687
Mo 0.443 0.313 0.612
Mo 0.498 0.792 0.617
Mo 0.502 0.208 0.383
Mo 0.557 0.687 0.388
Mo 0.612 0.443 0.313
Mo 0.617 0.498 0.792
Mo 0.687 0.388 0.557
Mo 0.792 0.617 0.498
```

***

The following is a DFT calculation (PBE) of a relaxed Cs5NaW4N10 crystal. Values from VASP.

Total energy (eV/atom): -7.54
Total magnetization (μB per formula unit): 0.003
Space group: I4_1, No. 80

Geometry as Quantum ESPRESSO input:
```
&SYSTEM
  ibrav = 0, nat = 40, ntyp = 4
/
ATOMIC_SPECIES
Cs 132.91 Cs.upf
Na 22.99 Na.upf
W 183.84 W.upf
N 14.01 N.upf
CELL_PARAMETERS angstrom
-7.012 7.012 4.447
7.012 -7.012 4.447
7.012 7.012 -4.447
ATOMIC_POSITIONS crystal
Cs 0.000 0.000 0.000
Cs 0.219 0.494 0.079
Cs 0.244 0.665 0.775
Cs 0.362 0.144 0.571
Cs 0.415 0.140 0.921
Cs 0.541 0.612 0.718
Cs 0.573 0.791 0.429
Cs 0.750 0.250 0.500
Cs 0.890 0.469 0.225
Cs 0.894 0.823 0.282
Na 0.263 0.763 0.500
Na 0.513 0.513 0.000
W 0.041 0.137 0.694
W 0.097 0.291 0.404
W 0.313 0.922 0.187
W 0.443 0.347 0.306
W 0.672 0.984 0.109
W 0.734 0.126 0.813
W 0.876 0.563 0.891
W 0.887 0.693 0.596
N 0.026 0.180 0.532
N 0.035 0.734 0.516
N 0.085 0.730 0.052
N 0.218 0.519 0.484
N 0.244 0.276 0.346
N 0.269 0.285 0.801
N 0.308 0.885 0.341
N 0.385 0.142 0.205
N 0.480 0.928 0.145
N 0.484 0.468 0.199
N 0.544 0.968 0.659
N 0.635 0.794 0.076
N 0.647 0.494 0.468
N 0.678 0.033 0.948
N 0.718 0.558 0.924
N 0.783 0.335 0.855
N 0.892 0.186 0.256
N 0.930 0.635 0.744
N 0.930 0.897 0.654
N 0.936 0.180 0.795
```

***

The following is a DFT calculation (PBE) of a relaxed CsNdNO crystal. Values from VASP.

Total energy (eV/atom): -5.83
Total magnetization (μB per formula unit): 1.002
Space group: Pmc2_1, No. 26

Geometry as Quantum ESPRESSO input:
```
&SYSTEM
  ibrav = 0, nat = 8, ntyp = 4
/
ATOMIC_SPECIES
Cs 132.91 Cs.upf
Nd 144.24 Nd.upf
N 14.01 N.upf
O 16.00 O.upf
CELL_PARAMETERS angstrom
3.922 0.000 0.000
0.000 7.946 0.000
0.000 0.000 6.849
ATOMIC_POSITIONS crystal
Cs 0.000 0.154 0.000
Cs 0.000 0.846 0.500
Nd 0.500 0.347 0.495
Nd 0.500 0.653 0.995
N 0.500 0.396 0.833
N 0.500 0.604 0.333
O 0.000 0.214 0.435
O 0.000 0.786 0.935
```

***

The following is a DFT calculation (PBE) of a relaxed CsOsNO crystal. Values from VASP.

Energy above the most stable polymorph in this dataset (eV/atom): 0.000
Total magnetization (μB per formula unit): 0.000
Space group: Pmc2_1, No. 26

Geometry as Quantum ESPRESSO input:
```
&SYSTEM
  ibrav = 0, nat = 8, ntyp = 4
/
ATOMIC_SPECIES
Cs 132.91 Cs.upf
Os 190.23 Os.upf
N 14.01 N.upf
O 16.00 O.upf
CELL_PARAMETERS angstrom
3.796 0.000 0.000
0.000 6.634 0.000
0.000 0.000 6.460
ATOMIC_POSITIONS crystal
Cs 0.000 0.174 0.000
Cs 0.000 0.826 0.500
Os 0.500 0.370 0.496
Os 0.500 0.630 0.996
N 0.500 0.493 0.750
N 0.500 0.507 0.250
O 0.000 0.276 0.492
O 0.000 0.724 0.992
```

***

The following is a DFT calculation (PBE) of a relaxed CsOsNO crystal. Values from VASP.

Energy above the most stable polymorph in this dataset (eV/atom): 0.805
Total magnetization (μB per formula unit): 0.008
Space group: P4/nmm, No. 129

Geometry as Quantum ESPRESSO input:
```
&SYSTEM
  ibrav = 0, nat = 8, ntyp = 4
/
ATOMIC_SPECIES
Cs 132.91 Cs.upf
Os 190.23 Os.upf
N 14.01 N.upf
O 16.00 O.upf
CELL_PARAMETERS angstrom
3.688 0.000 0.000
0.000 3.688 0.000
0.000 0.000 11.134
ATOMIC_POSITIONS crystal
Cs 0.250 0.250 0.191
Cs 0.750 0.750 0.809
Os 0.250 0.750 0.500
Os 0.750 0.250 0.500
N 0.250 0.250 0.589
N 0.750 0.750 0.411
O 0.250 0.750 0.000
O 0.750 0.250 0.000
```

***

The following is a DFT calculation (PBE) of a relaxed CsPaNO crystal. Values from VASP.

Energy above the most stable polymorph in this dataset (eV/atom): 0.003
Total magnetization (μB per formula unit): 0.999
Space group: Pmc2_1, No. 26

Geometry as Quantum ESPRESSO input:
```
&SYSTEM
  ibrav = 0, nat = 8, ntyp = 4
/
ATOMIC_SPECIES
Cs 132.91 Cs.upf
Pa 231.04 Pa.upf
N 14.01 N.upf
O 16.00 O.upf
CELL_PARAMETERS angstrom
3.805 0.000 0.000
0.000 8.059 0.000
0.000 0.000 6.846
ATOMIC_POSITIONS crystal
Cs 0.000 0.150 0.000
Cs 0.000 0.850 0.500
Pa 0.500 0.362 0.509
Pa 0.500 0.638 0.009
N 0.000 0.232 0.451
N 0.000 0.768 0.951
O 0.500 0.407 0.829
O 0.500 0.593 0.329
```

***

The following is a DFT calculation (PBE) of a relaxed CsPaNO crystal. Values from VASP.

Energy above the most stable polymorph in this dataset (eV/atom): 0.000
Total magnetization (μB per formula unit): 1.000
Space group: Pmc2_1, No. 26

Geometry as Quantum ESPRESSO input:
```
&SYSTEM
  ibrav = 0, nat = 8, ntyp = 4
/
ATOMIC_SPECIES
Cs 132.91 Cs.upf
Pa 231.04 Pa.upf
N 14.01 N.upf
O 16.00 O.upf
CELL_PARAMETERS angstrom
4.045 0.000 0.000
0.000 7.819 0.000
0.000 0.000 6.551
ATOMIC_POSITIONS crystal
Cs 0.000 0.164 0.000
Cs 0.000 0.836 0.500
Pa 0.500 0.352 0.509
Pa 0.500 0.648 0.009
N 0.500 0.414 0.830
N 0.500 0.586 0.330
O 0.000 0.227 0.463
O 0.000 0.773 0.963
```

***

The following is a DFT calculation (PBE) of a relaxed CsPdNO crystal. Values from VASP.

Energy above the most stable polymorph in this dataset (eV/atom): 0.020
Space group: Pmc2_1, No. 26

Geometry as Quantum ESPRESSO input:
```
&SYSTEM
  ibrav = 0, nat = 8, ntyp = 4
/
ATOMIC_SPECIES
Cs 132.91 Cs.upf
Pd 106.42 Pd.upf
N 14.01 N.upf
O 16.00 O.upf
CELL_PARAMETERS angstrom
3.830 0.000 0.000
0.000 6.743 0.000
0.000 0.000 6.634
ATOMIC_POSITIONS crystal
Cs 0.000 0.181 0.000
Cs 0.000 0.819 0.500
Pd 0.500 0.375 0.505
Pd 0.500 0.625 0.005
N 0.500 0.472 0.769
N 0.500 0.528 0.269
O 0.000 0.255 0.497
O 0.000 0.745 0.997
```

***

The following is a DFT calculation (PBE) of a relaxed CsPdNO crystal. Values from VASP.

Energy above the most stable polymorph in this dataset (eV/atom): 0.342
Space group: P4/nmm, No. 129

Geometry as Quantum ESPRESSO input:
```
&SYSTEM
  ibrav = 0, nat = 8, ntyp = 4
/
ATOMIC_SPECIES
Cs 132.91 Cs.upf
Pd 106.42 Pd.upf
N 14.01 N.upf
O 16.00 O.upf
CELL_PARAMETERS angstrom
3.901 0.000 0.000
0.000 3.901 0.000
0.000 0.000 11.016
ATOMIC_POSITIONS crystal
Cs 0.250 0.250 0.187
Cs 0.750 0.750 0.813
Pd 0.250 0.750 0.500
Pd 0.750 0.250 0.500
N 0.250 0.250 0.571
N 0.750 0.750 0.429
O 0.250 0.750 0.000
O 0.750 0.250 0.000
```

***

The following is a DFT calculation (PBE) of a relaxed CsPdNO crystal. Values from VASP.

Energy above the most stable polymorph in this dataset (eV/atom): 0.621
Space group: P4/nmm, No. 129

Geometry as Quantum ESPRESSO input:
```
&SYSTEM
  ibrav = 0, nat = 8, ntyp = 4
/
ATOMIC_SPECIES
Cs 132.91 Cs.upf
Pd 106.42 Pd.upf
N 14.01 N.upf
O 16.00 O.upf
CELL_PARAMETERS angstrom
4.676 0.000 0.000
0.000 4.676 0.000
0.000 0.000 7.319
ATOMIC_POSITIONS crystal
Cs 0.250 0.750 0.000
Cs 0.750 0.250 0.000
Pd 0.250 0.250 0.460
Pd 0.750 0.750 0.540
N 0.250 0.250 0.212
N 0.750 0.750 0.788
O 0.250 0.750 0.500
O 0.750 0.250 0.500
```

***

The following is a DFT calculation (PBE) of a relaxed CsPdNO crystal. Values from VASP.

Energy above the most stable polymorph in this dataset (eV/atom): 0.000
Space group: Pmc2_1, No. 26

Geometry as Quantum ESPRESSO input:
```
&SYSTEM
  ibrav = 0, nat = 8, ntyp = 4
/
ATOMIC_SPECIES
Cs 132.91 Cs.upf
Pd 106.42 Pd.upf
N 14.01 N.upf
O 16.00 O.upf
CELL_PARAMETERS angstrom
3.570 0.000 0.000
0.000 6.954 0.000
0.000 0.000 6.581
ATOMIC_POSITIONS crystal
Cs 0.000 0.240 0.000
Cs 0.000 0.760 0.500
Pd 0.500 0.318 0.499
Pd 0.500 0.682 0.999
N 0.000 0.222 0.498
N 0.000 0.778 0.998
O 0.500 0.496 0.751
O 0.500 0.504 0.251
```

***

The following is a DFT calculation (PBE) of a relaxed CsPmNO crystal. Values from VASP.

Total energy (eV/atom): -5.85
Total magnetization (μB per formula unit): 1.001
Space group: Pmc2_1, No. 26

Geometry as Quantum ESPRESSO input:
```
&SYSTEM
  ibrav = 0, nat = 8, ntyp = 4
/
ATOMIC_SPECIES
Cs 132.91 Cs.upf
Pm 145.00 Pm.upf
N 14.01 N.upf
O 16.00 O.upf
CELL_PARAMETERS angstrom
3.856 0.000 0.000
0.000 7.895 0.000
0.000 0.000 6.794
ATOMIC_POSITIONS crystal
Cs 0.000 0.154 0.000
Cs 0.000 0.846 0.500
Pm 0.500 0.348 0.494
Pm 0.500 0.652 0.994
N 0.500 0.396 0.832
N 0.500 0.604 0.332
O 0.000 0.213 0.433
O 0.000 0.787 0.933
```

***

The following is a DFT calculation (PBE) of a relaxed CsSmNO crystal. Values from VASP.

Energy above the most stable polymorph in this dataset (eV/atom): 0.000
Total magnetization (μB per formula unit): 1.001
Space group: Pmc2_1, No. 26

Geometry as Quantum ESPRESSO input:
```
&SYSTEM
  ibrav = 0, nat = 8, ntyp = 4
/
ATOMIC_SPECIES
Cs 132.91 Cs.upf
Sm 150.36 Sm.upf
N 14.01 N.upf
O 16.00 O.upf
CELL_PARAMETERS angstrom
4.054 0.000 0.000
0.000 7.968 0.000
0.000 0.000 6.518
ATOMIC_POSITIONS crystal
Cs 0.000 0.165 0.000
Cs 0.000 0.835 0.500
Sm 0.500 0.357 0.522
Sm 0.500 0.643 0.022
N 0.000 0.219 0.462
N 0.000 0.781 0.962
O 0.500 0.406 0.852
O 0.500 0.594 0.352
```

***

The following is a DFT calculation (PBE) of a relaxed CsSmNO crystal. Values from VASP.

Energy above the most stable polymorph in this dataset (eV/atom): 0.019
Total magnetization (μB per formula unit): 1.002
Space group: Pmc2_1, No. 26

Geometry as Quantum ESPRESSO input:
```
&SYSTEM
  ibrav = 0, nat = 8, ntyp = 4
/
ATOMIC_SPECIES
Cs 132.91 Cs.upf
Sm 150.36 Sm.upf
N 14.01 N.upf
O 16.00 O.upf
CELL_PARAMETERS angstrom
3.860 0.000 0.000
0.000 7.903 0.000
0.000 0.000 6.774
ATOMIC_POSITIONS crystal
Cs 0.000 0.155 0.000
Cs 0.000 0.845 0.500
Sm 0.500 0.347 0.497
Sm 0.500 0.653 0.997
N 0.500 0.399 0.833
N 0.500 0.601 0.333
O 0.000 0.215 0.438
O 0.000 0.785 0.938
```

***

The following is a DFT calculation (PBE) of a relaxed CsTbNO crystal. Values from VASP.

Total energy (eV/atom): -5.90
Total magnetization (μB per formula unit): 1.001
Space group: Pmc2_1, No. 26

Geometry as Quantum ESPRESSO input:
```
&SYSTEM
  ibrav = 0, nat = 8, ntyp = 4
/
ATOMIC_SPECIES
Cs 132.91 Cs.upf
Tb 158.93 Tb.upf
N 14.01 N.upf
O 16.00 O.upf
CELL_PARAMETERS angstrom
3.752 0.000 0.000
0.000 7.913 0.000
0.000 0.000 6.753
ATOMIC_POSITIONS crystal
Cs 0.000 0.160 0.000
Cs 0.000 0.840 0.500
Tb 0.500 0.347 0.498
Tb 0.500 0.653 0.998
N 0.500 0.409 0.825
N 0.500 0.591 0.325
O 0.000 0.214 0.444
O 0.000 0.786 0.944
```

***

The following is a DFT calculation (PBE) of a relaxed CsTcNO crystal. Values from VASP.

Energy above the most stable polymorph in this dataset (eV/atom): 0.153
Total magnetization (μB per formula unit): 0.000
Space group: Pmc2_1, No. 26

Geometry as Quantum ESPRESSO input:
```
&SYSTEM
  ibrav = 0, nat = 8, ntyp = 4
/
ATOMIC_SPECIES
Cs 132.91 Cs.upf
Tc 98.00 Tc.upf
N 14.01 N.upf
O 16.00 O.upf
CELL_PARAMETERS angstrom
3.346 0.000 0.000
0.000 7.189 0.000
0.000 0.000 6.472
ATOMIC_POSITIONS crystal
Cs 0.000 0.200 0.000
Cs 0.000 0.800 0.500
Tc 0.500 0.351 0.501
Tc 0.500 0.649 0.001
N 0.000 0.225 0.497
N 0.000 0.775 0.997
O 0.500 0.496 0.753
O 0.500 0.504 0.253
```

***

The following is a DFT calculation (PBE) of a relaxed CsTcNO crystal. Values from VASP.

Energy above the most stable polymorph in this dataset (eV/atom): 0.227
Total magnetization (μB per formula unit): 0.014
Space group: Pca2_1, No. 29

Geometry as Quantum ESPRESSO input:
```
&SYSTEM
  ibrav = 0, nat = 16, ntyp = 4
/
ATOMIC_SPECIES
Cs 132.91 Cs.upf
Tc 98.00 Tc.upf
N 14.01 N.upf
O 16.00 O.upf
CELL_PARAMETERS angstrom
6.443 0.000 0.000
0.000 9.113 0.000
0.000 0.000 5.336
ATOMIC_POSITIONS crystal
Cs 0.068 0.156 0.000
Cs 0.432 0.156 0.500
Cs 0.568 0.844 0.000
Cs 0.932 0.844 0.500
Tc 0.150 0.610 0.998
Tc 0.350 0.610 0.498
Tc 0.650 0.390 0.998
Tc 0.850 0.390 0.498
N 0.083 0.791 0.995
N 0.417 0.791 0.495
N 0.583 0.209 0.995
N 0.917 0.209 0.495
O 0.080 0.518 0.640
O 0.420 0.518 0.140
O 0.580 0.482 0.640
O 0.920 0.482 0.140
```

***

The following is a DFT calculation (PBE) of a relaxed CsTcNO crystal. Values from VASP.

Energy above the most stable polymorph in this dataset (eV/atom): 0.058
Total magnetization (μB per formula unit): 0.002
Space group: Pmma, No. 51

Geometry as Quantum ESPRESSO input:
```
&SYSTEM
  ibrav = 0, nat = 8, ntyp = 4
/
ATOMIC_SPECIES
Cs 132.91 Cs.upf
Tc 98.00 Tc.upf
N 14.01 N.upf
O 16.00 O.upf
CELL_PARAMETERS angstrom
6.169 0.000 0.000
0.000 3.521 0.000
0.000 0.000 7.123
ATOMIC_POSITIONS crystal
Cs 0.250 0.000 0.189
Cs 0.750 0.000 0.811
Tc 0.250 0.500 0.642
Tc 0.750 0.500 0.358
N 0.000 0.500 0.500
N 0.500 0.500 0.500
O 0.250 0.000 0.776
O 0.750 0.000 0.224
```

***

The following is a DFT calculation (PBE) of a relaxed CsTcNO crystal. Values from VASP.

Energy above the most stable polymorph in this dataset (eV/atom): 0.000
Total magnetization (μB per formula unit): 0.004
Space group: Pca2_1, No. 29

Geometry as Quantum ESPRESSO input:
```
&SYSTEM
  ibrav = 0, nat = 16, ntyp = 4
/
ATOMIC_SPECIES
Cs 132.91 Cs.upf
Tc 98.00 Tc.upf
N 14.01 N.upf
O 16.00 O.upf
CELL_PARAMETERS angstrom
6.122 0.000 0.000
0.000 8.947 0.000
0.000 0.000 5.628
ATOMIC_POSITIONS crystal
Cs 0.033 0.148 0.000
Cs 0.467 0.148 0.500
Cs 0.533 0.852 0.000
Cs 0.967 0.852 0.500
Tc 0.088 0.578 0.986
Tc 0.412 0.578 0.486
Tc 0.588 0.422 0.986
Tc 0.912 0.422 0.486
N 0.141 0.527 0.648
N 0.359 0.527 0.148
N 0.641 0.473 0.648
N 0.859 0.473 0.148
O 0.032 0.784 0.997
O 0.468 0.784 0.497
O 0.532 0.216 0.997
O 0.968 0.216 0.497
```